First-principles (PBE) data for KBe2CrNi after structural relaxation, as listed in the Alexandria database.

a = 4.3432 Å, b = 4.3432 Å, c = 4.7093 Å
α = 90.00°, β = 90.00°, γ = 90.00°
With the nearest neighbours (Å) after each atom.
Space group P4/mmm (No. 123)
Asymmetric unit:
K 0.0000 0.0000 0.0000 x1  4 Cr 3.07, 8 Be 3.20
Be 0.0000 0.5000 0.5000 x2  2 Ni 2.17
Cr 0.5000 0.5000 0.0000 x1  2 Ni 2.35
Ni 0.5000 0.5000 0.5000 x1  4 Be 2.17, 2 Cr 2.35

Calculated values
Energy of formation from the pure elements in meV per atom: 748.1
VASP energy in eV for the cell shown: -20.21
Density of states at the Fermi level in states/eV per atom: 0.689
M_tot in μB per atom: 0.774